4
Lattice="3.185 0.000 0.000 0.000 5.220 0.000 -1.064 0.000 5.935" Properties=species:S:1:pos:R:3 comment="TaTl3 PBE-GGA relaxed" formation_enthalpy_0k_mev_per_atom=598.4 dos_at_fermi_per_ev_atom=0.480 total_energy_ev_per_atom=-4.139 spacegroup="P2/m, No. 10" total_magnetization_mub_per_atom=0.00 volume_a3_per_fu=98.7 pbc="T T T"
Ta 0.000 0.000 0.000
Tl -0.532 0.000 2.967
Tl 0.909 2.610 1.367
Tl 1.212 2.610 4.567